The following is a DFT calculation (PBE) of a geometry-optimized TbGeSe3 structure.

Cell lengths 7.396, 6.695, 10.837 Å; angles 90.00, 90.00, 90.00 degrees
Positions (direct):
Tb1 0.132 0.082 0.000
Tb2 0.368 0.582 0.500
Tb3 0.632 0.418 0.000
Tb4 0.868 0.918 0.500
Ge1 0.103 0.556 0.159
Ge2 0.397 0.056 0.659
Ge3 0.603 0.944 0.159
Ge4 0.897 0.444 0.659
Se1 0.121 0.754 0.677
Se2 0.123 0.247 0.525
Se3 0.143 0.787 0.331
Se4 0.357 0.287 0.831
Se5 0.377 0.747 0.025
Se6 0.379 0.254 0.177
Se7 0.621 0.746 0.677
Se8 0.623 0.253 0.525
Se9 0.643 0.713 0.331
Se10 0.857 0.213 0.831
Se11 0.877 0.753 0.025
Se12 0.879 0.246 0.177

formation energy without anion corrections: -0.935 eV/atom
excess energy over the best structure of this formula in the dataset: 0.050 eV/atom